ScBeTe2P (PBE, optimized geometry); magnetic moment = 0.00 μB/cell; uncorrected formation energy = -0.002 eV/atom
1.0
5.2609 0.0000 0.0000
0.0000 3.9989 0.0000
0.0000 0.0000 5.2609
Be Te Sc P
1 2 1 1
Direct
0.0000 0.0000 0.0000 Be
0.5000 0.0000 0.0000 Te
0.0000 0.0000 0.5000 Te
0.5000 0.5000 0.5000 Sc
0.0000 0.5000 0.0000 P